Cr2TcSbO6 (PBE with a Hubbard U, optimized geometry); electronic total energy = -73.32 eV for the cell shown; total magnetization = 10.02 Bohr magnetons per cell
1.0
-0.880 -3.507 3.958
-2.807 -4.528 -0.832
3.161 -4.813 -0.187
Cr Tc Sb O
2 1 1 6
Direct
0.507 0.509 0.482
0.029 0.019 0.930
0.819 0.825 0.535
0.289 0.294 0.100
0.630 0.220 0.261
0.219 0.879 0.263
0.875 0.602 0.286
0.439 0.746 0.718
0.738 0.112 0.722
0.114 0.457 0.719